## RbLu2CuTe3S (GGA-PBE)

Data for a geometry-optimized RbLu2CuTe3S structure.

Cell: 7.608 7.608 15.340 Å, 90.00 90.00 148.15°
Atoms (fractional coordinates):
Rb: 0.126 0.874 0.750
Rb: 0.874 0.126 0.250
Lu: 0.383 0.617 0.561
Lu: 0.383 0.617 0.939
Lu: 0.617 0.383 0.061
Lu: 0.617 0.383 0.439
Cu: 0.164 0.836 0.250
Cu: 0.836 0.164 0.750
Te: 0.257 0.743 0.104
Te: 0.257 0.743 0.396
Te: 0.441 0.559 0.750
Te: 0.559 0.441 0.250
Te: 0.743 0.257 0.604
Te: 0.743 0.257 0.896
S: 0.000 0.000 0.000
S: 0.000 0.000 0.500

Values from the calculation:
- M_tot (μB/atom) = 0.00
- E_tot (eV for the cell shown) = -72.76